No. 1
# ScBe GGA-PBE relaxed
data_ScBe
_symmetry_space_group_name_H-M 'P m -3 n'
_symmetry_Int_Tables_number 223
_symmetry_space_group_name_Hall '-P 4n 2 3'
_cell_length_a 7.157
_cell_length_b 7.157
_cell_length_c 7.157
_cell_angle_alpha 90.00
_cell_angle_beta 90.00
_cell_angle_gamma 90.00
loop_
_atom_site_label
_atom_site_type_symbol
_atom_site_fract_x
_atom_site_fract_y
_atom_site_fract_z
_atom_site_occupancy
Sc1 Sc 0.000 0.250 0.500 1
Be1 Be 0.000 0.500 0.250 1
# DOS at the Fermi energy: 1.564 states/eV/atom
# crystal system: cubic
# formation energy: 276 kJ/mol of formula units



No. 2
# CdH3Pd GGA-PBE relaxed
data_CdH3Pd
_symmetry_space_group_name_H-M 'P m -3 m'
_symmetry_Int_Tables_number 221
_symmetry_space_group_name_Hall '-P 4 2 3'
_cell_length_a 3.661
_cell_length_b 3.661
_cell_length_c 3.661
_cell_angle_alpha 90.00
_cell_angle_beta 90.00
_cell_angle_gamma 90.00
loop_
_atom_site_label
_atom_site_type_symbol
_atom_site_fract_x
_atom_site_fract_y
_atom_site_fract_z
_atom_site_occupancy
Cd1 Cd 0.000 0.000 0.000 1
H1 H 0.000 0.500 0.500 1
Pd1 Pd 0.500 0.500 0.500 1
# DOS at the Fermi energy: 0.457 states/eV/atom
# energy relative to the lowest polymorph listed for this composition: 157 meV per atom
# crystal system: cubic



No. 3
# LiTb2S3 GGA-PBE relaxed
data_LiTb2S3
_symmetry_space_group_name_H-M 'I 4/m m m'
_symmetry_Int_Tables_number 139
_symmetry_space_group_name_Hall '-I 4 2'
_cell_length_a 3.899
_cell_length_b 3.899
_cell_length_c 16.548
_cell_angle_alpha 90.00
_cell_angle_beta 90.00
_cell_angle_gamma 90.00
loop_
_atom_site_label
_atom_site_type_symbol
_atom_site_fract_x
_atom_site_fract_y
_atom_site_fract_z
_atom_site_occupancy
Li1 Li 0.000 0.000 0.000 1
Tb1 Tb 0.000 0.000 0.340 1
S1 S 0.000 0.000 0.167 1
S2 S 0.000 0.000 0.500 1
# DOS at the Fermi energy: 0.063 states/eV/atom
# energy relative to the lowest polymorph listed for this composition: 0 meV per atom
# crystal system: tetragonal
# E_form (uncorrected): -11.3 eV/f.u.



> Number 3 is which compound?

LiTb2S3



> Look up the DOS at the Fermi energy of the first one.

1.564 states/eV/atom